Cu2CCl | PBE-GGA | relaxed

As for the energy above the most stable polymorph in this dataset: 0.00 eV per formula unit. The formation energy from raw total energies comes out at 0.62 eV/atom.

The structure belongs to space group I-42d (No. 122); the cell edges are 5.2661, 5.2661 and 8.6282 Å and the angles 90.00°, 90.00° and 90.00°. The asymmetric unit holds Cu at (0.1617, 0.2500, 0.1250), C at (0.0000, 0.0000, 0.0000) and Cl at (0.0000, 0.0000, 0.5000).

SbP3Pb | PBE-GGA | relaxed

As for the energy above the most stable polymorph in this dataset: 0.00 eV per formula unit. The formation energy from raw total energies comes out at 0.88 eV/atom.

The structure belongs to space group Pm-3m (No. 221); the cell edges are 5.0671, 5.0671 and 5.0671 Å and the angles 90.00°, 90.00° and 90.00°. The asymmetric unit holds Sb at (0.0000, 0.0000, 0.0000), P at (0.0000, 0.0000, 0.5000) and Pb at (0.5000, 0.5000, 0.5000).

Sm2ScCdC | PBE-GGA | relaxed

The energy of formation comes out at -0.300 eV per atom.

The structure belongs to space group P4/mmm (No. 123); the cell edges are 5.1525, 5.1525 and 4.4695 Å and the angles 90.00°, 90.00° and 90.00°. The asymmetric unit holds Sm at (0.0000, 0.5000, 0.0000), Sc at (0.0000, 0.0000, 0.5000), Cd at (0.5000, 0.5000, 0.5000) and C at (0.0000, 0.0000, 0.0000).

TaS | PBE-GGA | relaxed

The formation energy from raw total energies comes out at -0.70 eV/atom.

The structure belongs to space group I4_1md (No. 109); the cell edges are 3.3275, 3.3275 and 11.2077 Å and the angles 90.00°, 90.00° and 90.00°. The asymmetric unit holds Ta at (0.0000, 0.0000, 0.0000) and S at (0.0000, 0.0000, 0.4218).

CrOsPtS2 | PBE-GGA | relaxed

The formation energy from raw total energies comes out at 0.96 eV/atom.

The structure belongs to space group P4/mmm (No. 123); the cell edges are 4.4056, 4.4056 and 5.1254 Å and the angles 90.00°, 90.00° and 90.00°. The asymmetric unit holds Cr at (0.0000, 0.0000, 0.0000), Os at (0.0000, 0.0000, 0.5000), Pt at (0.5000, 0.5000, 0.0000) and S at (0.0000, 0.5000, 0.5000).

K2Rb | PBE-GGA | relaxed

The energy of formation comes out at 0.013 eV per atom.

The structure belongs to space group Fd-3m (No. 227, origin choice 2); the cell edges are 12.4449, 12.4449 and 12.4449 Å and the angles 90.00°, 90.00° and 90.00°. The asymmetric unit holds K at (0.0000, 0.0000, 0.0000) and Rb at (0.1250, 0.1250, 0.6250).

CeErHg6 | PBE-GGA | relaxed

As for the energy above the most stable polymorph in this dataset: 0.41 eV per formula unit. The energy of formation comes out at -0.263 eV per atom.

The structure belongs to space group P4/mmm (No. 123); the cell edges are 4.5940, 4.5940 and 9.6031 Å and the angles 90.00°, 90.00° and 90.00°. The asymmetric unit holds Ce at (0.0000, 0.0000, 0.0000), Er at (0.0000, 0.0000, 0.5000), Hg at (0.0000, 0.5000, 0.2561), Hg at (0.5000, 0.5000, 0.0000) and Hg at (0.5000, 0.5000, 0.5000).

Sr3LiPd | PBE-GGA | relaxed

As for the energy above the most stable polymorph in this dataset: 0.22 eV per formula unit. The energy of formation comes out at -0.232 eV per atom.

The structure belongs to space group R-3 (No. 148, hexagonal axes); the cell edges are 7.9251, 7.9251 and 21.5101 Å and the angles 90.00°, 90.00° and 120.00°. The asymmetric unit holds Sr at (0.0195, 0.6435, 0.2604), Li at (0.0000, 0.0000, 0.1882) and Pd at (0.0000, 0.0000, 0.3125).

Number 1: magnetization 0.0 μB per formula unit, raw total energy -4.20 eV/atom, density of states at the Fermi level 0.37 states/eV/atom. Number 2: magnetization 0.0 μB per formula unit, raw total energy -3.93 eV/atom, density of states at the Fermi level 0.90 states/eV/atom. Number 3: magnetization 0.0 μB per formula unit, raw total energy -5.48 eV/atom, density of states at the Fermi level 0.70 states/eV/atom. Number 4: magnetization 0.0 μB per formula unit, raw total energy -8.69 eV/atom, density of states at the Fermi level 0.53 states/eV/atom. Number 5: magnetization 3.6 μB per formula unit, raw total energy -6.07 eV/atom, density of states at the Fermi level 1.01 states/eV/atom. Number 6: magnetization 0.0 μB per formula unit, raw total energy -1.04 eV/atom, density of states at the Fermi level 0.67 states/eV/atom. Number 7: magnetization 1.5 μB per formula unit, raw total energy -1.80 eV/atom, density of states at the Fermi level 1.63 states/eV/atom. Number 8: magnetization 0.0 μB per formula unit, raw total energy -2.66 eV/atom, density of states at the Fermi level 0.92 states/eV/atom.